(1)
First-principles (PBE) data for a relaxed structure of TbY2Tl2Zn2, as listed in the Alexandria database.

Values from the calculation:
The density of states at the Fermi level is 3.1 states/eV/f.u. As for the calculated volume: 25.53 Å³/atom. The raw total energy comes out at -3.72 eV per atom. For the energy of formation from the pure elements, the calculation gives -1.231 eV per formula unit.

```
data_TbY2Tl2Zn2
_chemical_formula_sum 'Tb3 Y6 Tl6 Zn6'
_cell_length_a 4.7278
_cell_length_b 4.7278
_cell_length_c 27.6947
_cell_angle_alpha 90.00
_cell_angle_beta 90.00
_cell_angle_gamma 120.00
_symmetry_space_group_name_H-M 'R -3 m'
_symmetry_Int_Tables_number 166
_symmetry_space_group_name_Hall '-R 3 2"'
loop_
_atom_site_label
_atom_site_type_symbol
_atom_site_fract_x
_atom_site_fract_y
_atom_site_fract_z
Tb1 Tb 0.0000 0.0000 0.0000
Y1 Y 0.0000 0.0000 0.1266
Tl1 Tl 0.0000 0.0000 0.2609
Zn1 Zn 0.0000 0.0000 0.3910
```

---

(2)
First-principles (PBE) data for a relaxed structure of TbYTlZn, as listed in the Alexandria database.

Values from the calculation:
For the excess energy over the best structure of this formula in the dataset, the calculation gives 23 meV per atom. The density of states at the Fermi level is 4.1 states/eV/f.u. As for the calculated volume: 25.45 Å³/atom. The raw total energy comes out at -4.03 eV per atom. For the energy of formation from the pure elements, the calculation gives -1.379 eV per formula unit.

```
data_TbYTlZn
_chemical_formula_sum 'Tb4 Y4 Tl4 Zn4'
_cell_length_a 7.412
_cell_length_b 7.412
_cell_length_c 7.412
_cell_angle_alpha 90.00
_cell_angle_beta 90.00
_cell_angle_gamma 90.00
_symmetry_space_group_name_H-M 'F -4 3 m'
_symmetry_Int_Tables_number 216
_symmetry_space_group_name_Hall 'F -4 2 3'
loop_
_atom_site_label
_atom_site_type_symbol
_atom_site_fract_x
_atom_site_fract_y
_atom_site_fract_z
Tb1 Tb 0.000 0.000 0.000
Y1 Y 0.000 0.000 0.500
Tl1 Tl 0.250 0.250 0.750
Zn1 Zn 0.250 0.250 0.250
```

---

(3)
First-principles (PBE) data for a relaxed structure of Tb3Tl4Zn2, as listed in the Alexandria database.

Values from the calculation:
The density of states at the Fermi level is 3.9 states/eV/f.u. As for the calculated volume: 24.96 Å³/atom. The raw total energy comes out at -3.13 eV per atom. For the energy of formation from the pure elements, the calculation gives -2.300 eV per formula unit.

```
data_Tb3Tl4Zn2
_chemical_formula_sum 'Tb6 Tl8 Zn4'
_cell_length_a 11.370
_cell_length_b 4.804
_cell_length_c 9.050
_cell_angle_alpha 90.00
_cell_angle_beta 114.64
_cell_angle_gamma 90.00
_symmetry_space_group_name_H-M 'C 1 2/m 1'
_symmetry_Int_Tables_number 12
loop_
_symmetry_equiv_pos_as_xyz
'x,y,z'
'-x,-y,-z'
'-x,y,-z'
'x,-y,z'
'x+1/2,y+1/2,z'
'-x+1/2,-y+1/2,-z'
'-x+1/2,y+1/2,-z'
'x+1/2,-y+1/2,z'
loop_
_atom_site_label
_atom_site_type_symbol
_atom_site_fract_x
_atom_site_fract_y
_atom_site_fract_z
Tb1 Tb 0.000 0.000 0.000
Tb2 Tb 0.168 0.500 0.668
Tl1 Tl 0.088 0.000 0.415
Tl2 Tl 0.191 0.500 0.040
Zn1 Zn 0.083 0.500 0.264
```

---

(4)
First-principles (PBE) data for a relaxed structure of TbTlZn, as listed in the Alexandria database.

Values from the calculation:
The density of states at the Fermi level is 0.8 states/eV/f.u. As for the calculated volume: 24.84 Å³/atom. The raw total energy comes out at -3.03 eV per atom. For the energy of formation from the pure elements, the calculation gives -0.812 eV per formula unit.

```
data_TbTlZn
_chemical_formula_sum 'Tb4 Tl4 Zn4'
_cell_length_a 6.680
_cell_length_b 6.680
_cell_length_c 6.680
_cell_angle_alpha 90.00
_cell_angle_beta 90.00
_cell_angle_gamma 90.00
_symmetry_space_group_name_H-M 'F -4 3 m'
_symmetry_Int_Tables_number 216
_symmetry_space_group_name_Hall 'F -4 2 3'
loop_
_atom_site_label
_atom_site_type_symbol
_atom_site_fract_x
_atom_site_fract_y
_atom_site_fract_z
Tb1 Tb 0.000 0.000 0.000
Tl1 Tl 0.000 0.000 0.500
Zn1 Zn 0.250 0.250 0.250
```

---

The highest raw total energy belongs to which entry? TbTlZn

---

Please write out number 2 again, unchanged.
First-principles (PBE) data for a relaxed structure of TbYTlZn, as listed in the Alexandria database.

Values from the calculation:
For the excess energy over the best structure of this formula in the dataset, the calculation gives 23 meV per atom. The density of states at the Fermi level is 4.1 states/eV/f.u. As for the calculated volume: 25.45 Å³/atom. The raw total energy comes out at -4.03 eV per atom. For the energy of formation from the pure elements, the calculation gives -1.379 eV per formula unit.

```
data_TbYTlZn
_chemical_formula_sum 'Tb4 Y4 Tl4 Zn4'
_cell_length_a 7.412
_cell_length_b 7.412
_cell_length_c 7.412
_cell_angle_alpha 90.00
_cell_angle_beta 90.00
_cell_angle_gamma 90.00
_symmetry_space_group_name_H-M 'F -4 3 m'
_symmetry_Int_Tables_number 216
_symmetry_space_group_name_Hall 'F -4 2 3'
loop_
_atom_site_label
_atom_site_type_symbol
_atom_site_fract_x
_atom_site_fract_y
_atom_site_fract_z
Tb1 Tb 0.000 0.000 0.000
Y1 Y 0.000 0.000 0.500
Tl1 Tl 0.250 0.250 0.750
Zn1 Zn 0.250 0.250 0.250
```

---

Among the records above, which one has the lowest raw total energy? TbYTlZn